Run i
First-principles (PBE-GGA) data for an optimized crystal structure of SbTeMoI2, as listed in Alexandria.

Crystal system: tetragonal
ρ in Mg/m³: 4.73

Cell and atoms, written as CIF:
```
data_SbTeMoI2
_chemical_formula_sum 'Sb1 Te1 Mo1 I2'
_space_group_name_H-M_alt 'P 1'
_space_group_IT_number 1
_space_group_name_Hall 'P 1'
_cell_length_a 5.863
_cell_length_b 5.863
_cell_length_c 6.114
_cell_angle_alpha 90.00
_cell_angle_beta 90.00
_cell_angle_gamma 90.00
loop_
_atom_site_label
_atom_site_fract_x
_atom_site_fract_y
_atom_site_fract_z
_atom_site_occupancy
Sb1 0.000 0.000 0.500 1
Te1 0.000 0.000 0.000 1
Mo1 0.500 0.500 0.500 1
I1 0.000 0.500 0.000 1
I2 0.500 0.000 0.000 1
```


Run ii
First-principles (PBE-GGA) data for an optimized crystal structure of SbTeMoI2, as listed in Alexandria.

Crystal system: tetragonal
ρ in Mg/m³: 6.15

Cell and atoms, written as CIF:
```
data_SbTeMoI2
_chemical_formula_sum 'Sb1 Te1 Mo1 I2'
_space_group_name_H-M_alt 'P 1'
_space_group_IT_number 1
_space_group_name_Hall 'P 1'
_cell_length_a 5.497
_cell_length_b 5.497
_cell_length_c 5.350
_cell_angle_alpha 90.00
_cell_angle_beta 90.00
_cell_angle_gamma 90.00
loop_
_atom_site_label
_atom_site_fract_x
_atom_site_fract_y
_atom_site_fract_z
_atom_site_occupancy
Te1 0.000 0.000 0.500 1
Sb1 0.500 0.500 0.500 1
Mo1 0.000 0.000 0.000 1
I1 0.500 0.000 0.000 1
I2 0.000 0.500 0.000 1
```


Run iii
First-principles (PBE-GGA) data for an optimized crystal structure of SbTeMoI2, as listed in Alexandria.

Crystal system: tetragonal
ρ in Mg/m³: 4.81

Cell and atoms, written as CIF:
```
data_SbTeMoI2
_chemical_formula_sum 'Sb1 Te1 Mo1 I2'
_space_group_name_H-M_alt 'P 1'
_space_group_IT_number 1
_space_group_name_Hall 'P 1'
_cell_length_a 5.920
_cell_length_b 5.920
_cell_length_c 5.897
_cell_angle_alpha 90.00
_cell_angle_beta 90.00
_cell_angle_gamma 90.00
loop_
_atom_site_label
_atom_site_fract_x
_atom_site_fract_y
_atom_site_fract_z
_atom_site_occupancy
Sb1 0.000 0.000 0.000 1
Te1 0.000 0.000 0.500 1
Mo1 0.500 0.500 0.500 1
I1 0.000 0.500 0.000 1
I2 0.500 0.000 0.000 1
```


Run iv
First-principles (PBE-GGA) data for an optimized crystal structure of SbTeMoI2, as listed in Alexandria.

Crystal system: tetragonal
ρ in Mg/m³: 6.42

Cell and atoms, written as CIF:
```
data_SbTeMoI2
_chemical_formula_sum 'Sb1 Te1 Mo1 I2'
_space_group_name_H-M_alt 'P 1'
_space_group_IT_number 1
_space_group_name_Hall 'P 1'
_cell_length_a 5.289
_cell_length_b 5.289
_cell_length_c 5.538
_cell_angle_alpha 90.00
_cell_angle_beta 90.00
_cell_angle_gamma 90.00
loop_
_atom_site_label
_atom_site_fract_x
_atom_site_fract_y
_atom_site_fract_z
_atom_site_occupancy
I1 0.500 0.000 0.000 1
I2 0.000 0.500 0.000 1
Te1 0.500 0.500 0.500 1
Sb1 0.000 0.000 0.500 1
Mo1 0.000 0.000 0.000 1
```


Bottom line: run iv, by a margin of 47 meV/atom.


Run i
First-principles (PBE-GGA) data for an optimized crystal structure of Sb2TeMoI, as listed in Alexandria.

Crystal system: tetragonal
ρ in Mg/m³: 5.05

Cell and atoms, written as CIF:
```
data_Sb2TeMoI
_chemical_formula_sum 'Sb2 Te1 Mo1 I1'
_space_group_name_H-M_alt 'P 1'
_space_group_IT_number 1
_space_group_name_Hall 'P 1'
_cell_length_a 5.814
_cell_length_b 5.814
_cell_length_c 5.783
_cell_angle_alpha 90.00
_cell_angle_beta 90.00
_cell_angle_gamma 90.00
loop_
_atom_site_label
_atom_site_fract_x
_atom_site_fract_y
_atom_site_fract_z
_atom_site_occupancy
I1 0.000 0.000 0.500 1
Sb1 0.500 0.000 0.000 1
Sb2 0.000 0.500 0.000 1
Mo1 0.500 0.500 0.500 1
Te1 0.000 0.000 0.000 1
```


Run ii
First-principles (PBE-GGA) data for an optimized crystal structure of Sb2TeMoI, as listed in Alexandria.

Crystal system: tetragonal
ρ in Mg/m³: 6.61

Cell and atoms, written as CIF:
```
data_Sb2TeMoI
_chemical_formula_sum 'Sb2 Te1 Mo1 I1'
_space_group_name_H-M_alt 'P 1'
_space_group_IT_number 1
_space_group_name_Hall 'P 1'
_cell_length_a 5.363
_cell_length_b 5.363
_cell_length_c 5.187
_cell_angle_alpha 90.00
_cell_angle_beta 90.00
_cell_angle_gamma 90.00
loop_
_atom_site_label
_atom_site_fract_x
_atom_site_fract_y
_atom_site_fract_z
_atom_site_occupancy
Te1 0.000 0.000 0.500 1
Sb1 0.500 0.000 0.000 1
Sb2 0.000 0.500 0.000 1
Mo1 0.000 0.000 0.000 1
I1 0.500 0.500 0.500 1
```


Run iii
First-principles (PBE-GGA) data for an optimized crystal structure of Sb2TeMoI, as listed in Alexandria.

Crystal system: tetragonal
ρ in Mg/m³: 5.22

Cell and atoms, written as CIF:
```
data_Sb2TeMoI
_chemical_formula_sum 'Sb2 Te1 Mo1 I1'
_space_group_name_H-M_alt 'P 1'
_space_group_IT_number 1
_space_group_name_Hall 'P 1'
_cell_length_a 5.785
_cell_length_b 5.785
_cell_length_c 5.646
_cell_angle_alpha 90.00
_cell_angle_beta 90.00
_cell_angle_gamma 90.00
loop_
_atom_site_label
_atom_site_fract_x
_atom_site_fract_y
_atom_site_fract_z
_atom_site_occupancy
Te1 0.000 0.000 0.500 1
Sb1 0.000 0.500 0.000 1
Sb2 0.500 0.000 0.000 1
Mo1 0.500 0.500 0.500 1
I1 0.000 0.000 0.000 1
```


Bottom line: run ii, by a margin of 1153 meV/atom.


Run i
First-principles (PBE-GGA) data for an optimized crystal structure of TlSbMoI2, as listed in Alexandria.

Crystal system: tetragonal
ρ in Mg/m³: 5.13

Cell and atoms, written as CIF:
```
data_TlSbMoI2
_chemical_formula_sum 'Tl1 Sb1 Mo1 I2'
_space_group_name_H-M_alt 'P 1'
_space_group_IT_number 1
_space_group_name_Hall 'P 1'
_cell_length_a 6.154
_cell_length_b 6.154
_cell_length_c 5.778
_cell_angle_alpha 90.00
_cell_angle_beta 90.00
_cell_angle_gamma 90.00
loop_
_atom_site_label
_atom_site_fract_x
_atom_site_fract_y
_atom_site_fract_z
_atom_site_occupancy
I1 0.500 0.000 0.000 1
I2 0.000 0.500 0.000 1
Mo1 0.500 0.500 0.500 1
Sb1 0.000 0.000 0.500 1
Tl1 0.000 0.000 0.000 1
```


Run ii
First-principles (PBE-GGA) data for an optimized crystal structure of TlSbMoI2, as listed in Alexandria.

Crystal system: tetragonal
ρ in Mg/m³: 6.27

Cell and atoms, written as CIF:
```
data_TlSbMoI2
_chemical_formula_sum 'Tl1 Sb1 Mo1 I2'
_space_group_name_H-M_alt 'P 1'
_space_group_IT_number 1
_space_group_name_Hall 'P 1'
_cell_length_a 5.835
_cell_length_b 5.835
_cell_length_c 5.253
_cell_angle_alpha 90.00
_cell_angle_beta 90.00
_cell_angle_gamma 90.00
loop_
_atom_site_label
_atom_site_fract_x
_atom_site_fract_y
_atom_site_fract_z
_atom_site_occupancy
I1 0.500 0.000 0.000 1
I2 0.000 0.500 0.000 1
Sb1 0.000 0.000 0.500 1
Mo1 0.000 0.000 0.000 1
Tl1 0.500 0.500 0.500 1
```


Bottom line: run ii, by a margin of 946 meV/atom.


Run i
First-principles (PBE-GGA) data for an optimized crystal structure of YSb2MoI, as listed in Alexandria.

Crystal system: tetragonal
ρ in Mg/m³: 4.64

Cell and atoms, written as CIF:
```
data_YSb2MoI
_chemical_formula_sum 'Y1 Sb2 Mo1 I1'
_space_group_name_H-M_alt 'P 1'
_space_group_IT_number 1
_space_group_name_Hall 'P 1'
_cell_length_a 5.839
_cell_length_b 5.839
_cell_length_c 5.826
_cell_angle_alpha 90.00
_cell_angle_beta 90.00
_cell_angle_gamma 90.00
loop_
_atom_site_label
_atom_site_fract_x
_atom_site_fract_y
_atom_site_fract_z
_atom_site_occupancy
I1 0.000 0.000 0.500 1
Sb1 0.500 0.000 0.000 1
Sb2 0.000 0.500 0.000 1
Mo1 0.500 0.500 0.500 1
Y1 0.000 0.000 0.000 1
```


Run ii
First-principles (PBE-GGA) data for an optimized crystal structure of YSb2MoI, as listed in Alexandria.

Crystal system: tetragonal
ρ in Mg/m³: 6.01

Cell and atoms, written as CIF:
```
data_YSb2MoI
_chemical_formula_sum 'Y1 Sb2 Mo1 I1'
_space_group_name_H-M_alt 'P 1'
_space_group_IT_number 1
_space_group_name_Hall 'P 1'
_cell_length_a 5.193
_cell_length_b 5.193
_cell_length_c 5.688
_cell_angle_alpha 90.00
_cell_angle_beta 90.00
_cell_angle_gamma 90.00
loop_
_atom_site_label
_atom_site_fract_x
_atom_site_fract_y
_atom_site_fract_z
_atom_site_occupancy
Y1 0.500 0.500 0.500 1
Mo1 0.000 0.000 0.000 1
Sb1 0.500 0.000 0.000 1
Sb2 0.000 0.500 0.000 1
I1 0.000 0.000 0.500 1
```


Bottom line: run ii, by a margin of 548 meV/atom.


Run i
First-principles (PBE-GGA) data for an optimized crystal structure of ZnSbMoI2, as listed in Alexandria.

Crystal system: tetragonal
ρ in Mg/m³: 5.28

Cell and atoms, written as CIF:
```
data_ZnSbMoI2
_chemical_formula_sum 'Zn1 Sb1 Mo1 I2'
_space_group_name_H-M_alt 'P 1'
_space_group_IT_number 1
_space_group_name_Hall 'P 1'
_cell_length_a 5.652
_cell_length_b 5.652
_cell_length_c 5.283
_cell_angle_alpha 90.00
_cell_angle_beta 90.00
_cell_angle_gamma 90.00
loop_
_atom_site_label
_atom_site_fract_x
_atom_site_fract_y
_atom_site_fract_z
_atom_site_occupancy
I1 0.500 0.000 0.000 1
I2 0.000 0.500 0.000 1
Sb1 0.000 0.000 0.500 1
Mo1 0.000 0.000 0.000 1
Zn1 0.500 0.500 0.500 1
```


Run ii
First-principles (PBE-GGA) data for an optimized crystal structure of ZnSbMoI2, as listed in Alexandria.

Crystal system: tetragonal
ρ in Mg/m³: 5.48

Cell and atoms, written as CIF:
```
data_ZnSbMoI2
_chemical_formula_sum 'Zn1 Sb1 Mo1 I2'
_space_group_name_H-M_alt 'P 1'
_space_group_IT_number 1
_space_group_name_Hall 'P 1'
_cell_length_a 5.533
_cell_length_b 5.533
_cell_length_c 5.312
_cell_angle_alpha 90.00
_cell_angle_beta 90.00
_cell_angle_gamma 90.00
loop_
_atom_site_label
_atom_site_fract_x
_atom_site_fract_y
_atom_site_fract_z
_atom_site_occupancy
I1 0.500 0.000 0.000 1
I2 0.000 0.500 0.000 1
Mo1 0.500 0.500 0.500 1
Zn1 0.000 0.000 0.000 1
Sb1 0.000 0.000 0.500 1
```


Bottom line: run i, by a margin of 499 meV/atom.


Run i
First-principles (PBE-GGA) data for an optimized crystal structure of ScMo3I, as listed in Alexandria.

Crystal system: cubic
ρ in Mg/m³: 7.04

Cell and atoms, written as CIF:
```
data_ScMo3I
_chemical_formula_sum 'Sc1 Mo3 I1'
_space_group_name_H-M_alt 'P 1'
_space_group_IT_number 1
_space_group_name_Hall 'P 1'
_cell_length_a 4.767
_cell_length_b 4.767
_cell_length_c 4.767
_cell_angle_alpha 90.00
_cell_angle_beta 90.00
_cell_angle_gamma 90.00
loop_
_atom_site_label
_atom_site_fract_x
_atom_site_fract_y
_atom_site_fract_z
_atom_site_occupancy
Sc1 0.000 0.000 0.000 1
Mo1 0.000 0.000 0.500 1
Mo2 0.500 0.000 0.000 1
Mo3 0.000 0.500 0.000 1
I1 0.500 0.500 0.500 1
```


Run ii
First-principles (PBE-GGA) data for an optimized crystal structure of ScMo3I, as listed in Alexandria.

Crystal system: cubic
ρ in Mg/m³: 6.60

Cell and atoms, written as CIF:
```
data_ScMo3I
_chemical_formula_sum 'Sc1 Mo3 I1'
_space_group_name_H-M_alt 'P 1'
_space_group_IT_number 1
_space_group_name_Hall 'P 1'
_cell_length_a 4.872
_cell_length_b 4.872
_cell_length_c 4.872
_cell_angle_alpha 90.00
_cell_angle_beta 90.00
_cell_angle_gamma 90.00
loop_
_atom_site_label
_atom_site_fract_x
_atom_site_fract_y
_atom_site_fract_z
_atom_site_occupancy
Mo1 0.000 0.500 0.000 1
Mo2 0.500 0.000 0.000 1
Mo3 0.000 0.000 0.500 1
I1 0.000 0.000 0.000 1
Sc1 0.500 0.500 0.500 1
```


Bottom line: run ii, by a margin of 459 meV/atom.